Record 1
A plane-wave DFT calculation with PBE-GGA was carried out for a relaxed structure of Ta4AlGa.

Structure (POSCAR):
```
Ta4AlGa
1.0
6.3406 0.0000 0.0000
0.0000 6.3406 0.0000
0.0000 0.0000 5.1304
Ta Al Ga
8 2 2
direct
0.1556 0.3428 0.0000 Ta
0.1556 0.6572 0.5000 Ta
0.3428 0.1556 0.5000 Ta
0.3428 0.8444 0.0000 Ta
0.6572 0.1556 0.0000 Ta
0.6572 0.8444 0.5000 Ta
0.8444 0.3428 0.5000 Ta
0.8444 0.6572 0.0000 Ta
0.5000 0.5000 0.2500 Al
0.5000 0.5000 0.7500 Al
0.0000 0.0000 0.2500 Ga
0.0000 0.0000 0.7500 Ga
```

Calculated values
For the density of states at the Fermi level, the calculation gives 0.449 states/eV/atom. The final energy comes out at -110.8 eV/cell. The calculation puts the formation energy at -0.202 eV per atom. The total magnetic moment is 0.000 μB per formula unit. Its space group is P4/mcc. As for the distance to the lowest polymorph of the same formula: 0.0 meV per atom.

=====

Record 2
A plane-wave DFT calculation with PBE-GGA was carried out for a relaxed structure of ZrV2In2.

Structure (POSCAR):
```
ZrV2In2
1.0
8.0152 0.0000 0.0000
0.0000 8.0152 0.0000
0.0000 0.0000 2.9444
Zr V In
2 4 4
direct
0.0000 0.0000 0.0000 Zr
0.5000 0.5000 0.0000 Zr
0.1036 0.3964 0.0000 V
0.3964 0.8964 0.0000 V
0.6036 0.1036 0.0000 V
0.8964 0.6036 0.0000 V
0.1880 0.6880 0.5000 In
0.3120 0.1880 0.5000 In
0.6880 0.8120 0.5000 In
0.8120 0.3120 0.5000 In
```

Calculated values
For the density of states at the Fermi level, the calculation gives 0.668 states/eV/atom. The final energy comes out at -62.8 eV/cell. The calculation puts the formation energy at 0.170 eV per atom. The total magnetic moment is 0.000 μB per formula unit. Its space group is P4/mbm. As for the distance to the lowest polymorph of the same formula: 0.0 meV per atom.

=====

Record 3
A plane-wave DFT calculation with PBE-GGA was carried out for a relaxed structure of LiMn2Ni.

Structure (POSCAR):
```
LiMn2Ni
1.0
-1.4410 2.0968 4.2870
1.4410 -2.0968 4.2870
1.4410 2.0968 -4.2870
Li Mn Ni
1 2 1
direct
0.0000 0.0000 0.0000 Li
0.2661 0.7661 0.5000 Mn
0.5312 0.5312 0.0000 Mn
0.7635 0.2635 0.5000 Ni
```

Calculated values
For the density of states at the Fermi level, the calculation gives 0.833 states/eV/atom. The final energy comes out at -25.1 eV/cell. The calculation puts the formation energy at 0.226 eV per atom. The total magnetic moment is 7.570 μB per formula unit. Its space group is Imm2.

=====

Record 4
A plane-wave DFT calculation with PBE-GGA was carried out for a relaxed structure of Cs2AsHF6.

Structure (POSCAR):
```
Cs2AsHF6
1.0
4.4895 -4.9457 0.0000
4.4895 4.9457 0.0000
-4.1630 0.0000 4.4935
Cs As H F
2 1 1 6
direct
0.2280 0.7720 0.0000 Cs
0.7720 0.2280 0.0000 Cs
0.4833 0.4833 0.4831 As
0.2008 0.2008 0.6992 H
0.2060 0.2060 0.5165 F
0.2105 0.2105 0.8967 F
0.3097 0.7092 0.5096 F
0.6756 0.6756 0.8911 F
0.6788 0.6788 0.4649 F
0.7092 0.3097 0.5096 F
```

Calculated values
For the density of states at the Fermi level, the calculation gives 0.000 states/eV/atom. The final energy comes out at -44.7 eV/cell. The total magnetic moment is 0.000 μB per formula unit. Its space group is Cm.

=====

Record 5
A plane-wave DFT calculation with PBE-GGA was carried out for a relaxed structure of NdSc4Ni5.

Structure (POSCAR):
```
NdSc4Ni5
1.0
3.2080 0.0000 0.0000
0.0000 3.2080 0.0000
0.0000 0.0000 16.3875
Nd Sc Ni
1 4 5
direct
0.0000 0.0000 0.0000 Nd
0.0000 0.0000 0.2122 Sc
0.0000 0.0000 0.4045 Sc
0.0000 0.0000 0.5955 Sc
0.0000 0.0000 0.7878 Sc
0.5000 0.5000 0.1255 Ni
0.5000 0.5000 0.3098 Ni
0.5000 0.5000 0.5000 Ni
0.5000 0.5000 0.6902 Ni
0.5000 0.5000 0.8745 Ni
```

Calculated values
For the density of states at the Fermi level, the calculation gives 0.781 states/eV/atom. The final energy comes out at -63.3 eV/cell. The calculation puts the formation energy at -0.433 eV per atom. The total magnetic moment is 0.000 μB per formula unit. Its space group is P4/mmm.

=====

Record 6
A plane-wave DFT calculation with PBE-GGA was carried out for a relaxed structure of Sm4ThSe5.

Structure (POSCAR):
```
Sm4ThSe5
1.0
-4.6718 4.6718 2.9569
4.6718 -4.6718 2.9569
4.6718 4.6718 -2.9569
Sm Th Se
4 1 5
direct
0.0973 0.7005 0.7978 Sm
0.2995 0.0973 0.3968 Sm
0.7005 0.9027 0.6032 Sm
0.9027 0.2995 0.2022 Sm
0.5000 0.5000 0.0000 Th
0.0000 0.0000 0.0000 Se
0.1994 0.3992 0.5986 Se
0.3992 0.8006 0.1999 Se
0.6008 0.1994 0.8001 Se
0.8006 0.6008 0.4014 Se
```

Calculated values
For the density of states at the Fermi level, the calculation gives 0.589 states/eV/atom. The final energy comes out at -61.3 eV/cell. The total magnetic moment is 0.000 μB per formula unit. Its space group is I4/m.

=====

Record 7
A plane-wave DFT calculation with PBE-GGA was carried out for a relaxed structure of CuHg3Sb.

Structure (POSCAR):
```
CuHg3Sb
1.0
5.0618 0.0000 0.0000
0.0000 5.0618 0.0000
0.0000 0.0000 5.0618
Cu Hg Sb
1 3 1
direct
0.0000 0.0000 0.0000 Cu
0.0000 0.0000 0.5000 Hg
0.0000 0.5000 0.0000 Hg
0.5000 0.0000 0.0000 Hg
0.5000 0.5000 0.5000 Sb
```

Calculated values
For the density of states at the Fermi level, the calculation gives 0.756 states/eV/atom. The final energy comes out at -7.4 eV/cell. The total magnetic moment is 0.000 μB per formula unit. Its space group is Pm-3m. As for the distance to the lowest polymorph of the same formula: 0.0 meV per atom.

=====

Record 8
A plane-wave DFT calculation with PBE-GGA was carried out for a relaxed structure of BaAl2Hg2.

Structure (POSCAR):
```
BaAl2Hg2
1.0
8.7893 0.0000 0.0000
0.0000 8.7893 0.0000
0.0000 0.0000 3.3084
Ba Al Hg
2 4 4
direct
0.0000 0.0000 0.0000 Ba
0.5000 0.5000 0.0000 Ba
0.1551 0.3449 0.5000 Al
0.3449 0.8449 0.5000 Al
0.6551 0.1551 0.5000 Al
0.8449 0.6551 0.5000 Al
0.1347 0.6347 0.0000 Hg
0.3653 0.1347 0.0000 Hg
0.6347 0.8653 0.0000 Hg
0.8653 0.3653 0.0000 Hg
```

Calculated values
For the density of states at the Fermi level, the calculation gives 0.426 states/eV/atom. The final energy comes out at -19.9 eV/cell. The calculation puts the formation energy at 0.017 eV per atom. The total magnetic moment is 0.000 μB per formula unit. Its space group is P4/mbm.

=====

Record 9
A plane-wave DFT calculation with PBE-GGA was carried out for a relaxed structure of LiAc2ZnSe5.

Structure (POSCAR):
```
LiAc2ZnSe5
1.0
2.1374 -9.0309 0.0000
2.1374 9.0309 0.0000
0.0000 0.0000 12.0994
Li Ac Zn Se
2 4 2 10
direct
0.2102 0.7898 0.5000 Li
0.7898 0.2102 0.0000 Li
0.1203 0.8797 0.1764 Ac
0.1277 0.8723 0.7945 Ac
0.8723 0.1277 0.2945 Ac
0.8797 0.1203 0.6764 Ac
0.4317 0.5683 0.9440 Zn
0.5683 0.4317 0.4440 Zn
0.0442 0.9558 0.5403 Se
0.2959 0.7041 0.1478 Se
0.3069 0.6931 0.8442 Se
0.3558 0.6442 0.4893 Se
0.4981 0.5019 0.7631 Se
0.5019 0.4981 0.2631 Se
0.6442 0.3558 0.9893 Se
0.6931 0.3069 0.3442 Se
0.7041 0.2959 0.6478 Se
0.9558 0.0442 0.0403 Se
```

Calculated values
For the density of states at the Fermi level, the calculation gives 0.639 states/eV/atom. The final energy comes out at -83.5 eV/cell. The total magnetic moment is 0.000 μB per formula unit. Its space group is Cmc2_1.

=====

Record 10
A plane-wave DFT calculation with PBE-GGA was carried out for a relaxed structure of Rb3LaCl6.

Structure (POSCAR):
```
Rb3LaCl6
1.0
0.0000 5.9015 5.9015
5.9015 0.0000 5.9015
5.9015 5.9015 0.0000
Rb La Cl
3 1 6
direct
0.0000 0.0000 0.0000 Rb
0.2500 0.2500 0.2500 Rb
0.7500 0.7500 0.7500 Rb
0.5000 0.5000 0.5000 La
0.2651 0.2651 0.7349 Cl
0.2651 0.7349 0.2651 Cl
0.2651 0.7349 0.7349 Cl
0.7349 0.2651 0.2651 Cl
0.7349 0.2651 0.7349 Cl
0.7349 0.7349 0.2651 Cl
```

Calculated values
For the density of states at the Fermi level, the calculation gives 0.000 states/eV/atom. The final energy comes out at -39.8 eV/cell. The total magnetic moment is 0.000 μB per formula unit. Its space group is Fm-3m.

=====

Record 11
A plane-wave DFT calculation with PBE-GGA was carried out for a relaxed structure of Pm4Dy8Tm3.

Structure (POSCAR):
```
Pm4Dy8Tm3
1.0
6.6886 -6.4003 0.0000
6.6886 6.4003 0.0000
-3.3659 0.0000 5.8334
Pm Dy Tm
4 8 3
direct
0.0000 0.0000 0.0000 Pm
0.0000 0.0000 0.5000 Pm
0.0000 0.5000 0.0000 Pm
0.5000 0.0000 0.0000 Pm
0.2550 0.7450 0.0000 Dy
0.2663 0.2663 0.5148 Dy
0.2714 0.2714 0.0410 Dy
0.3615 0.6385 0.5000 Dy
0.6385 0.3615 0.5000 Dy
0.7286 0.7286 0.9590 Dy
0.7337 0.7337 0.4852 Dy
0.7450 0.2550 0.0000 Dy
0.0000 0.5000 0.5000 Tm
0.5000 0.0000 0.5000 Tm
0.5000 0.5000 0.0000 Tm
```

Calculated values
For the density of states at the Fermi level, the calculation gives 1.957 states/eV/atom. The final energy comes out at -63.6 eV/cell. The calculation puts the formation energy at 0.374 eV per atom. The total magnetic moment is 0.020 μB per formula unit. Its space group is C2/m. As for the distance to the lowest polymorph of the same formula: 251.3 meV per atom.

=====

Record 12
A plane-wave DFT calculation with PBE-GGA was carried out for a relaxed structure of GeAu2Se.

Structure (POSCAR):
```
GeAu2Se
1.0
1.9808 1.1436 6.0095
-1.9808 1.1436 6.0095
0.0000 -2.2872 6.0095
Ge Au Se
1 2 1
direct
0.0000 0.0000 0.0000 Ge
0.2548 0.2548 0.2548 Au
0.7452 0.7452 0.7452 Au
0.5000 0.5000 0.5000 Se
```

Calculated values
For the density of states at the Fermi level, the calculation gives 0.448 states/eV/atom. The final energy comes out at -14.4 eV/cell. The total magnetic moment is 0.000 μB per formula unit. Its space group is R-3m. As for the distance to the lowest polymorph of the same formula: 0.0 meV per atom.

=====

> Which value of total magnetic moment does entry 3 give?

7.570 μB per formula unit